Below is crystalline IrAu2Se at its relaxed geometry, with properties calculated at the PBE-GGA level.

Cell lengths 4.8753, 4.8753, 4.8753 Å; angles 128.00, 128.00, 76.63 degrees
Sites, in units of the cell vectors:
1 Ir 0.5000 0.5000 0.0000
2 Au 0.2500 0.7500 0.5000
3 Au 0.0000 0.0000 0.0000
4 Se 0.7500 0.2500 0.5000

Results
spin magnetization: 0.000 μB per atom
calculated volume: 70 Å³/cell
energy: -4.170 eV/atom



Below is crystalline IrAu2Se at its relaxed geometry, with properties calculated at the PBE-GGA level.

Cell lengths 2.9093, 2.9093, 10.1957 Å; angles 90.00, 90.00, 123.29 degrees
Sites, in units of the cell vectors:
1 Ir 0.5000 0.5000 0.2500
2 Au 0.0000 0.0000 0.4863
3 Au 0.0000 0.0000 0.0137
4 Se 0.5000 0.5000 0.7500

Results
spin magnetization: 0.000 μB per atom
calculated volume: 72 Å³/cell
energy: -4.269 eV/atom



Below is crystalline IrAu2Se2 at its relaxed geometry, with properties calculated at the PBE-GGA level.

Cell lengths 7.2194, 7.2194, 3.6378 Å; angles 90.00, 90.00, 90.00 degrees
Sites, in units of the cell vectors:
1 Ir 0.5000 0.5000 0.0000
2 Ir 0.0000 0.0000 0.0000
3 Se 0.3218 0.1782 0.5000
4 Se 0.1782 0.6782 0.5000
5 Se 0.8218 0.3218 0.5000
6 Se 0.6782 0.8218 0.5000
7 Au 0.3628 0.8628 0.0000
8 Au 0.1372 0.3628 0.0000
9 Au 0.8628 0.6372 0.0000
10 Au 0.6372 0.1372 0.0000

Results
spin magnetization: 0.000 μB per atom
energy relative to the lowest polymorph listed for this composition: 0 meV/atom
calculated volume: 190 Å³/cell
energy: -3.786 eV/atom



Below is crystalline IrAu2Se at its relaxed geometry, with properties calculated at the PBE-GGA level.

Cell lengths 8.6259, 8.6259, 8.6259 Å; angles 22.01, 22.01, 22.01 degrees
Sites, in units of the cell vectors:
1 Au 0.9931 0.9931 0.9931
2 Au 0.2421 0.2421 0.2421
3 Ir 0.4946 0.4946 0.4946
4 Se 0.7703 0.7703 0.7703

Results
spin magnetization: 0.000 μB per atom
calculated volume: 79 Å³/cell
energy: -4.537 eV/atom



Below is crystalline Ir3Au5Se12 at its relaxed geometry, with properties calculated at the PBE-GGA level.

Cell lengths 13.8304, 13.8304, 13.8304 Å; angles 109.47, 109.47, 109.47 degrees
Sites, in units of the cell vectors:
1 Au 0.8750 0.2500 0.6250
2 Au 0.7500 0.6250 0.3750
3 Au 0.1250 0.7500 0.3750
4 Au 0.5000 0.0000 0.0000
5 Au 0.0000 0.0000 0.0000
6 Au 0.5000 0.0000 0.5000
7 Au 0.1250 0.3750 0.2500
8 Au 0.0000 0.0000 0.5000
9 Au 0.3750 0.2500 0.1250
10 Au 0.0000 0.5000 0.5000
11 Au 0.8750 0.6250 0.7500
12 Au 0.3750 0.1250 0.7500
13 Au 0.6250 0.7500 0.8750
14 Au 0.5000 0.5000 0.0000
15 Au 0.2500 0.8750 0.1250
16 Au 0.0000 0.5000 0.0000
17 Au 0.7500 0.1250 0.8750
18 Au 0.6250 0.8750 0.2500
19 Au 0.2500 0.3750 0.6250
20 Au 0.5000 0.5000 0.5000
21 Se 0.0427 0.6686 0.7019
22 Se 0.6259 0.9573 0.6592
23 Se 0.8408 0.9667 0.2981
24 Se 0.0333 0.8741 0.3314
25 Se 0.2019 0.5427 0.6686
26 Se 0.8741 0.0333 0.8314
27 Se 0.8741 0.8408 0.5427
28 Se 0.2981 0.8314 0.9573
29 Se 0.8314 0.5333 0.8741
30 Se 0.8314 0.2981 0.4573
31 Se 0.7981 0.3408 0.9667
32 Se 0.8408 0.8741 0.0427
33 Se 0.4667 0.2981 0.3408
34 Se 0.1686 0.4667 0.1259
35 Se 0.2981 0.4667 0.8408
36 Se 0.4573 0.7981 0.8314
37 Se 0.7019 0.5333 0.1592
38 Se 0.3408 0.7981 0.4667
39 Se 0.4667 0.1686 0.6259
40 Se 0.3314 0.9573 0.7981
41 Se 0.0427 0.3741 0.8408
42 Se 0.1686 0.7019 0.5427
43 Se 0.2019 0.6592 0.0333
44 Se 0.9573 0.6259 0.1592
45 Se 0.1592 0.0333 0.7019
46 Se 0.6592 0.2019 0.5333
47 Se 0.9667 0.8408 0.7981
48 Se 0.1259 0.1592 0.4573
49 Se 0.6592 0.4573 0.6259
50 Se 0.6259 0.6686 0.4667
51 Se 0.3741 0.0427 0.3408
52 Se 0.5427 0.2019 0.1686
53 Se 0.0333 0.1592 0.2019
54 Se 0.1592 0.1259 0.9573
55 Se 0.5427 0.3408 0.8741
56 Se 0.6686 0.0427 0.2019
57 Se 0.3408 0.5427 0.3741
58 Se 0.3314 0.3741 0.0333
59 Se 0.7019 0.1686 0.0427
60 Se 0.6686 0.6259 0.9667
61 Se 0.7981 0.4573 0.3314
62 Se 0.3741 0.3314 0.5333
63 Se 0.4573 0.6592 0.1259
64 Se 0.9667 0.1259 0.6686
65 Se 0.1259 0.9667 0.1686
66 Se 0.5333 0.7019 0.6592
67 Se 0.5333 0.8314 0.3741
68 Se 0.9573 0.3314 0.2981
69 Ir 0.8750 0.7500 0.1250
70 Ir 0.8750 0.1250 0.2500
71 Ir 0.7500 0.8750 0.6250
72 Ir 0.3750 0.7500 0.6250
73 Ir 0.7500 0.3750 0.1250
74 Ir 0.6250 0.3750 0.7500
75 Ir 0.6250 0.2500 0.3750
76 Ir 0.2500 0.6250 0.8750
77 Ir 0.1250 0.8750 0.7500
78 Ir 0.3750 0.6250 0.2500
79 Ir 0.1250 0.2500 0.8750
80 Ir 0.2500 0.1250 0.3750

Results
spin magnetization: 0.000 μB per atom
calculated volume: 2036 Å³/cell
energy: -4.005 eV/atom



Below is crystalline IrAu2Se2 at its relaxed geometry, with properties calculated at the PBE-GGA level.

Cell lengths 3.5714, 3.5714, 8.5628 Å; angles 77.96, 77.96, 90.00 degrees
Last column: magnetic moment on the atom in μB.
Sites, in units of the cell vectors:
1 Se 0.2500 0.7500 0.5000  -0.01
2 Se 0.7500 0.2500 0.5000  -0.01
3 Au 0.5834 0.5834 0.8331  0.08
4 Au 0.4166 0.4166 0.1669  0.08
5 Ir 0.0000 0.0000 0.0000  0.77

Results
spin magnetization: 0.183 μB per atom
energy relative to the lowest polymorph listed for this composition: 102 meV/atom
calculated volume: 104 Å³/cell
energy: -3.684 eV/atom



The calculation returns the following uncorrected formation energy values, one per record and in order: 0.555, 0.456, 0.691, 0.188, 0.234, 0.793 eV/atom.